# 1
This record from Alexandria via LeMat-Bulk describes Sm4Sb2Rh after structural relaxation. The functional is PBE.

## Properties
total energy: -5.64 eV per atom
DOS(E_F): 0.917 states/eV/atom
ΔE_f (raw): -0.714 eV per atom

Cell and atoms, written as CIF:
```
data_Sm4Sb2Rh
_cell_length_a 15.8181
_cell_length_b 4.3407
_cell_length_c 7.4055
_cell_angle_alpha 90.00
_cell_angle_beta 117.43
_cell_angle_gamma 90.00
_symmetry_space_group_name_H-M 'C 1 2/m 1'
_symmetry_Int_Tables_number 12
loop_
_symmetry_equiv_pos_as_xyz
'x,y,z'
'-x,-y,-z'
'-x,y,-z'
'x,-y,z'
'x+1/2,y+1/2,z'
'-x+1/2,-y+1/2,-z'
'-x+1/2,y+1/2,-z'
'x+1/2,-y+1/2,z'
loop_
_atom_site_label
_atom_site_fract_x
_atom_site_fract_y
_atom_site_fract_z
_atom_site_occupancy
Sm1 0.1146 0.0000 0.4257 1
Sm2 0.1168 0.5000 0.9785 1
Sb1 0.2339 0.5000 0.7330 1
Rh1 0.0000 0.0000 0.0000 1
```

---

# 2
This record from Alexandria via LeMat-Bulk describes Sm8Sb2Rh3 after structural relaxation. The functional is PBE.

## Properties
total energy: -5.85 eV per atom
DOS(E_F): 0.583 states/eV/atom
ΔE_f (raw): -0.612 eV per atom

Cell and atoms, written as CIF:
```
data_Sm8Sb2Rh3
_cell_length_a 16.1168
_cell_length_b 8.0221
_cell_length_c 6.9111
_cell_angle_alpha 90.00
_cell_angle_beta 105.59
_cell_angle_gamma 90.00
_symmetry_space_group_name_H-M 'C 1 2/m 1'
_symmetry_Int_Tables_number 12
loop_
_symmetry_equiv_pos_as_xyz
'x,y,z'
'-x,-y,-z'
'-x,y,-z'
'x,-y,z'
'x+1/2,y+1/2,z'
'-x+1/2,-y+1/2,-z'
'-x+1/2,y+1/2,-z'
'x+1/2,-y+1/2,z'
loop_
_atom_site_label
_atom_site_fract_x
_atom_site_fract_y
_atom_site_fract_z
_atom_site_occupancy
Sm1 0.0910 0.0000 0.3752 1
Sm2 0.1028 0.5000 0.4046 1
Sm3 0.1061 0.2572 0.8973 1
Sb1 0.2440 0.0000 0.1666 1
Rh1 0.0000 0.2494 0.5000 1
Rh2 0.0000 0.5000 0.0000 1
```

---

# 3
This record from Alexandria via LeMat-Bulk describes SmSb3Rh5 after structural relaxation. The functional is PBE.

## Properties
total energy: -6.50 eV per atom
DOS(E_F): 0.422 states/eV/atom
ΔE_f (raw): -0.516 eV per atom

Cell and atoms, written as CIF:
```
data_SmSb3Rh5
_cell_length_a 4.0124
_cell_length_b 13.8071
_cell_length_c 13.2274
_cell_angle_alpha 90.00
_cell_angle_beta 90.00
_cell_angle_gamma 90.00
_symmetry_space_group_name_H-M 'C m c m'
_symmetry_Int_Tables_number 63
_symmetry_space_group_name_Hall '-C 2c 2'
loop_
_atom_site_label
_atom_site_fract_x
_atom_site_fract_y
_atom_site_fract_z
_atom_site_occupancy
Sm1 0.0000 0.0986 0.2500 1
Sb1 0.0000 0.1303 0.7500 1
Sb2 0.0000 0.3786 0.5401 1
Rh1 0.0000 0.0000 0.0000 1
Rh2 0.0000 0.1962 0.5670 1
Rh3 0.0000 0.4569 0.1460 1
```

---

# 4
This record from Alexandria via LeMat-Bulk describes Sm8Sb2Rh after structural relaxation. The functional is PBE.

## Properties
total energy: -5.38 eV per atom
DOS(E_F): 1.015 states/eV/atom
ΔE_f (raw): -0.529 eV per atom

Cell and atoms, written as CIF:
```
data_Sm8Sb2Rh
_cell_length_a 19.0561
_cell_length_b 4.7184
_cell_length_c 7.4666
_cell_angle_alpha 90.00
_cell_angle_beta 98.65
_cell_angle_gamma 90.00
_symmetry_space_group_name_H-M 'C 1 2/m 1'
_symmetry_Int_Tables_number 12
loop_
_symmetry_equiv_pos_as_xyz
'x,y,z'
'-x,-y,-z'
'-x,y,-z'
'x,-y,z'
'x+1/2,y+1/2,z'
'-x+1/2,-y+1/2,-z'
'-x+1/2,y+1/2,-z'
'x+1/2,-y+1/2,z'
loop_
_atom_site_label
_atom_site_fract_x
_atom_site_fract_y
_atom_site_fract_z
_atom_site_occupancy
Sm1 0.0059 0.0000 0.2771 1
Sm2 0.0956 0.5000 0.0114 1
Sm3 0.1458 0.5000 0.5279 1
Sm4 0.2152 0.0000 0.8469 1
Sb1 0.1827 0.0000 0.2680 1
Rh1 0.0000 0.5000 0.5000 1
```

---

# 5
This record from Alexandria via LeMat-Bulk describes SmSbRh after structural relaxation. The functional is PBE.

## Properties
total energy: -5.89 eV per atom
DOS(E_F): 0.576 states/eV/atom
ΔE_f (raw): -0.490 eV per atom

Cell and atoms, written as CIF:
```
data_SmSbRh
_cell_length_a 3.9201
_cell_length_b 3.9201
_cell_length_c 9.3081
_cell_angle_alpha 90.00
_cell_angle_beta 90.00
_cell_angle_gamma 90.00
_symmetry_space_group_name_H-M 'I 4 m m'
_symmetry_Int_Tables_number 107
_symmetry_space_group_name_Hall 'I 4 -2'
loop_
_atom_site_label
_atom_site_fract_x
_atom_site_fract_y
_atom_site_fract_z
_atom_site_occupancy
Sm1 0.0000 0.0000 0.0000 1
Sb1 0.0000 0.0000 0.6762 1
Rh1 0.0000 0.0000 0.3815 1
```

---

# 6
This record from Alexandria via LeMat-Bulk describes Sm3Sb5Rh6 after structural relaxation. The functional is PBE.

## Properties
total energy: -6.45 eV per atom
DOS(E_F): 0.598 states/eV/atom
ΔE_f (raw): -0.820 eV per atom

Cell and atoms, written as CIF:
```
data_Sm3Sb5Rh6
_cell_length_a 4.3159
_cell_length_b 13.3622
_cell_length_c 10.0841
_cell_angle_alpha 90.00
_cell_angle_beta 90.00
_cell_angle_gamma 90.00
_symmetry_space_group_name_H-M 'P m m n'
_symmetry_Int_Tables_number 59
loop_
_symmetry_equiv_pos_as_xyz
'x,y,z'
'-x,-y,-z'
'-x+1/2,-y+1/2,z'
'x+1/2,y+1/2,-z'
'x+1/2,-y,-z'
'-x+1/2,y,z'
'-x,y+1/2,-z'
'x,-y+1/2,z'
loop_
_atom_site_label
_atom_site_fract_x
_atom_site_fract_y
_atom_site_fract_z
_atom_site_occupancy
Sm1 0.2500 0.0799 0.2469 1
Sm2 0.2500 0.7500 0.2497 1
Sb1 0.2500 0.0828 0.8509 1
Sb2 0.2500 0.6302 0.5254 1
Sb3 0.2500 0.7500 0.8446 1
Rh1 0.2500 0.0566 0.5958 1
Rh2 0.2500 0.2500 0.4893 1
Rh3 0.2500 0.2500 0.9968 1
Rh4 0.2500 0.5834 0.0016 1
```

---

# 7
This record from Alexandria via LeMat-Bulk describes Sm3Sb2Rh6 after structural relaxation. The functional is PBE.

## Properties
total energy: -6.78 eV per atom
DOS(E_F): 0.931 states/eV/atom
ΔE_f (raw): -0.729 eV per atom

Cell and atoms, written as CIF:
```
data_Sm3Sb2Rh6
_cell_length_a 9.5439
_cell_length_b 9.5439
_cell_length_c 9.5439
_cell_angle_alpha 90.00
_cell_angle_beta 90.00
_cell_angle_gamma 90.00
_symmetry_space_group_name_H-M 'I m -3 m'
_symmetry_Int_Tables_number 229
_symmetry_space_group_name_Hall '-I 4 2 3'
loop_
_atom_site_label
_atom_site_fract_x
_atom_site_fract_y
_atom_site_fract_z
_atom_site_occupancy
Sm1 0.0000 0.0000 0.2852 1
Sb1 0.2500 0.2500 0.2500 1
Rh1 0.0000 0.3494 0.3494 1
```

---

# 8
This record from Alexandria via LeMat-Bulk describes SmSb2Rh4 after structural relaxation. The functional is PBE.

## Properties
total energy: -6.64 eV per atom
DOS(E_F): 0.956 states/eV/atom
ΔE_f (raw): -0.584 eV per atom

Cell and atoms, written as CIF:
```
data_SmSb2Rh4
_cell_length_a 7.9945
_cell_length_b 7.9945
_cell_length_c 4.1231
_cell_angle_alpha 90.00
_cell_angle_beta 90.00
_cell_angle_gamma 90.00
_symmetry_space_group_name_H-M 'P 42/m n m'
_symmetry_Int_Tables_number 136
_symmetry_space_group_name_Hall '-P 4n 2n'
loop_
_atom_site_label
_atom_site_fract_x
_atom_site_fract_y
_atom_site_fract_z
_atom_site_occupancy
Sm1 0.0000 0.0000 0.0000 1
Sb1 0.2236 0.2236 0.5000 1
Rh1 0.0826 0.6538 0.5000 1
```

---

Question: What is the formula in the eighth record?
Answer: SmSb2Rh4

---

Question: What is the ΔE_f (raw) in the second record?
Answer: -0.612 eV per atom

---

Question: ΔE_f (raw) of number 7 (Sm3Sb2Rh6)?
Answer: -0.729 eV per atom